4
Lattice="3.254 0.000 0.000 0.000 5.300 0.000 -1.627 -2.650 5.764" Properties=species:S:1:pos:R:3 comment="SrSc2Cl (meta-GGA SCAN, PBEsol geometry)" polymorph_energy_ev_per_atom=0.0000 raw_formation_energy_mev_per_atom=-468 pbc="T T T"
Sr 0.000 2.650 0.000
Cl 1.627 0.000 0.000
Sc 1.627 2.650 3.349
Sc 0.000 0.000 2.415

=====

4
Lattice="-2.613 2.714 3.240 2.740 -3.817 1.616 3.993 1.960 -2.214" Properties=species:S:1:pos:R:3 comment="BaZn2Cu (meta-GGA SCAN, PBEsol geometry)" formation_enthalpy_0k_ev_per_atom=0.23 pbc="T T T"
Zn 0.000 0.000 0.000
Zn 2.373 1.873 0.363
Cu 1.747 -1.016 2.278
Ba 3.367 -0.928 -0.299

=====

5
Lattice="3.425 0.000 0.000 0.000 3.425 0.000 0.000 0.000 5.620" Properties=species:S:1:pos:R:3 comment="Be2AsPtO (meta-GGA SCAN, PBEsol geometry)" raw_formation_energy_mev_per_atom=-424 pbc="T T T"
Be 1.712 0.000 0.000
Be 0.000 1.712 0.000
As 1.712 1.712 2.810
Pt 0.000 0.000 2.810
O 0.000 0.000 0.000

=====

4
Lattice="-1.888 1.179 -3.443 -1.102 -3.987 1.680 -3.629 -0.312 1.883" Properties=species:S:1:pos:R:3 comment="Os2RhCl (meta-GGA SCAN, PBEsol geometry)" polymorph_energy_ev_per_atom=0.4845 raw_formation_energy_mev_per_atom=1181 pbc="T T T"
Rh -2.758 0.434 -0.780
Os -1.930 -1.776 0.450
Os 0.000 0.000 0.000
Cl -4.688 -1.343 -0.330

=====

Table of uncorrected energy (eV/f.u.), in record order: -60.6; -80.8; -107.4; -180.8
Table of N(E_F) (states/eV/cell), in record order: 3.06; 3.98; 1.61; 3.42